Sr2TcHgO6: optimized geometry, PBE-GGA.

Calculated values
The total DFT energy (no corrections) comes out at -0.2249 Ha/atom. The density of states at the Fermi level comes out at 0.24 states/eV per atom. Its space group is P4mm. The uncorrected formation energy is -1.74 eV/atom.

Unit cell a=5.295 b=5.598 c=5.598 alpha=90.00 beta=90.00 gamma=90.00
Fractional positions:
O (0.727, 0.776, 0.224)
O (0.727, 0.224, 0.224)
O (0.264, 0.000, 0.000)
Hg (0.527, 0.500, 0.500)
O (0.129, 0.500, 0.500)
Sr (0.009, 0.000, 0.500)
Tc (0.600, 0.000, 0.000)
Sr (0.009, 0.500, 0.000)
O (0.727, 0.224, 0.776)
O (0.727, 0.776, 0.776)